Entry 1:
# ZnB2Br, relaxed, DFT PBE
data_ZnB2Br
_chemical_formula_sum 'Zn2 B4 Br2'
_cell_length_a 6.199
_cell_length_b 6.199
_cell_length_c 6.199
_cell_angle_alpha 131.19
_cell_angle_beta 131.19
_cell_angle_gamma 71.52
_space_group_name_H-M_alt 'P 1'
_space_group_IT_number 1
loop_
_space_group_symop_operation_xyz
'x,y,z'
loop_
_atom_site_label
_atom_site_type_symbol
_atom_site_fract_x
_atom_site_fract_y
_atom_site_fract_z
_atom_site_occupancy
Zn1 Zn 0.000 0.000 0.000 1
Zn2 Zn 0.750 0.250 0.500 1
B1 B 0.088 0.625 0.963 1
B2 B 0.375 0.338 0.463 1
B3 B 0.662 0.125 0.037 1
B4 B 0.875 0.912 0.537 1
Br1 Br 0.250 0.750 0.500 1
Br2 Br 0.500 0.500 0.000 1
# Space-group type   No. 122
# N(E_F)   4.28 states/eV per cell
# Energy relative to the lowest polymorph listed for this composition   0.000 eV/atom
# E_form (uncorrected)   5.3 eV per formula unit

---

Entry 2:
# ZnB3Br, relaxed, DFT PBE
data_ZnB3Br
_chemical_formula_sum 'Zn1 B3 Br1'
_cell_length_a 4.238
_cell_length_b 4.238
_cell_length_c 4.238
_cell_angle_alpha 90.00
_cell_angle_beta 90.00
_cell_angle_gamma 90.00
_space_group_name_H-M_alt 'P 1'
_space_group_IT_number 1
loop_
_space_group_symop_operation_xyz
'x,y,z'
loop_
_atom_site_label
_atom_site_type_symbol
_atom_site_fract_x
_atom_site_fract_y
_atom_site_fract_z
_atom_site_occupancy
Zn1 Zn 0.000 0.000 0.000 1
B1 B 0.000 0.000 0.500 1
B2 B 0.000 0.500 0.000 1
B3 B 0.500 0.000 0.000 1
Br1 Br 0.500 0.500 0.500 1
# Space-group type   No. 221
# N(E_F)   1.77 states/eV per cell
# Energy relative to the lowest polymorph listed for this composition   0.000 eV/atom
# E_form (uncorrected)   9.4 eV per formula unit

---

Entry 3:
# ZnB2Br8, relaxed, DFT PBE
data_ZnB2Br8
_chemical_formula_sum 'Zn1 B2 Br8'
_cell_length_a 7.821
_cell_length_b 7.821
_cell_length_c 6.010
_cell_angle_alpha 92.06
_cell_angle_beta 92.06
_cell_angle_gamma 85.00
_space_group_name_H-M_alt 'P 1'
_space_group_IT_number 1
loop_
_space_group_symop_operation_xyz
'x,y,z'
loop_
_atom_site_label
_atom_site_type_symbol
_atom_site_fract_x
_atom_site_fract_y
_atom_site_fract_z
_atom_site_occupancy
Zn1 Zn 0.000 0.000 0.000 1
B1 B 0.205 0.205 0.651 1
B2 B 0.795 0.795 0.349 1
Br1 Br 0.042 0.731 0.232 1
Br2 Br 0.202 0.202 0.315 1
Br3 Br 0.269 0.958 0.768 1
Br4 Br 0.367 0.367 0.769 1
Br5 Br 0.633 0.633 0.231 1
Br6 Br 0.731 0.042 0.232 1
Br7 Br 0.798 0.798 0.685 1
Br8 Br 0.958 0.269 0.768 1
# Space-group type   No. 12
# N(E_F)   0.00 states/eV per cell
# E_form (uncorrected)   -5.7 eV per formula unit